Entry 1:
Entry from the Alexandria database: a relaxed structure of Y2Mo2Pt (PBE).

Properties
Its magnetization is 0.00 μB per formula unit. Its energy of formation is 23.88 kcal/mol of atoms. As for the crystal system: tetragonal. The value obtained for the electronic total energy is -7.0909 eV/atom.

abc: 4.2275 4.2275 7.0979
angles: 72.67 72.67 90.00
With the nearest neighbours (Å) after each atom.
Element x y z (fractional)
1 Y 0.7500 0.2500 0.5000  4 Y 2.99, 4 Mo 3.04
2 Y 0.2500 0.7500 0.5000  4 Y 2.99, 4 Mo 3.04
3 Mo 0.4194 0.4194 0.1611  1 Mo 2.07
4 Mo 0.5806 0.5806 0.8389  1 Mo 2.07
5 Pt 0.0000 0.0000 0.0000  8 Mo 3.16

=====

Entry 2:
Entry from the Alexandria database: a relaxed structure of CdTcNi2 (PBE).

Properties
Its magnetization is 0.05 μB per formula unit. Its energy of formation is 4.76 kcal/mol of atoms. As for the crystal system: monoclinic. The value obtained for the electronic total energy is -5.5047 eV/atom.

abc: 4.8155 4.8155 4.6464
angles: 75.67 75.67 32.23
With the nearest neighbours (Å) after each atom.
Element x y z (fractional)
1 Cd 0.7400 0.7400 0.7931  7 Ni 2.60-2.70, 2 Cd 2.67
2 Ni 0.9809 0.9809 0.9822  4 Ni 2.54-2.67, 3 Cd 2.60-2.69, 4 Tc 2.61-2.80
3 Ni 0.2610 0.2610 0.2853  4 Ni 2.54-2.67, 3 Tc 2.55-2.65, 4 Cd 2.67-2.70
4 Tc 0.5181 0.5181 0.4394  7 Ni 2.55-2.80, 2 Tc 2.67

=====

Entry 3:
Entry from the Alexandria database: a relaxed structure of PuTl3Zn2O6 (PBE).

Properties
The calculation puts the uncorrected formation energy at -16.4 eV/f.u. Its magnetization is 2.87 μB per formula unit. As for the crystal system: monoclinic. The value obtained for the electronic total energy is -5.8474 eV/atom.

abc: 5.6729 5.6729 6.8707
angles: 97.77 97.77 120.18
With the nearest neighbours (Å) after each atom.
Element x y z (fractional)
1 Pu 0.0000 0.0000 0.0000  6 O 2.16
2 Tl 0.1693 0.8307 0.5000  6 O 2.88-2.92
3 Tl 0.8307 0.1693 0.5000  6 O 2.88-2.92
4 Tl 0.5000 0.5000 0.5000  6 O 2.89-2.91
5 Zn 0.3333 0.6667 0.0000  6 O 2.20-2.22
6 Zn 0.6667 0.3333 0.0000  6 O 2.20-2.22
7 O 0.9432 0.6174 0.8329  1 Pu 2.16, 2 Zn 2.20-2.21
8 O 0.7305 0.7305 0.1698  1 Pu 2.16, 2 Zn 2.22
9 O 0.0568 0.3826 0.1671  1 Pu 2.16, 2 Zn 2.20-2.21
10 O 0.6174 0.9432 0.8329  1 Pu 2.16, 2 Zn 2.20-2.21
11 O 0.2695 0.2695 0.8302  1 Pu 2.16, 2 Zn 2.22
12 O 0.3826 0.0568 0.1671  1 Pu 2.16, 2 Zn 2.20-2.21